[1]
Entry from Alexandria: a crystal of Li2ZnRh relaxed with PBEsol (SCAN).

a = 3.045 Å, b = 4.078 Å, c = 4.899 Å
α = 114.21°, β = 108.10°, γ = 90.00°
Positions (direct):
1 Zn 0.500 0.000 0.000
2 Rh 0.000 0.500 0.000
3 Li 0.251 0.251 0.502
4 Li 0.749 0.749 0.498

Calculated values
N(E_F)   1.0 states/eV per cell
ρ   5.8 g cm⁻³
Total moment   0.00 μB per atom
SG   No. 12
Formation enthalpy at 0 K   -0.338 eV per atom
Total DFT energy (no corrections)   -53.42 eV/f.u.

=====

[2]
Entry from Alexandria: a crystal of Li2ZrRh relaxed with PBEsol (SCAN).

a = 3.657 Å, b = 3.657 Å, c = 10.579 Å
α = 99.95°, β = 99.95°, γ = 90.00°
Positions (direct):
1 Rh 0.250 0.750 0.500
2 Rh 0.000 0.000 0.000
3 Zr 0.750 0.250 0.500
4 Zr 0.500 0.500 0.000
5 Li 0.337 0.875 0.250
6 Li 0.913 0.375 0.250
7 Li 0.125 0.087 0.750
8 Li 0.625 0.663 0.750

Calculated values
N(E_F)   3.5 states/eV per cell
ρ   5.0 g cm⁻³
Relative energy among the computed polymorphs   0.0 meV/atom
Total moment   0.00 μB per atom
SG   No. 122
Formation enthalpy at 0 K   -0.185 eV per atom
Total DFT energy (no corrections)   -69.99 eV/f.u.

=====

[3]
Entry from Alexandria: a crystal of Li2ZrRh relaxed with PBEsol (SCAN).

a = 3.356 Å, b = 3.356 Å, c = 5.232 Å
α = 90.00°, β = 90.00°, γ = 90.00°
Positions (direct):
1 Li 0.000 0.000 0.794
2 Li 0.000 0.000 0.206
3 Rh 0.500 0.500 0.000
4 Zr 0.500 0.500 0.500

Calculated values
N(E_F)   2.9 states/eV per cell
ρ   5.9 g cm⁻³
Relative energy among the computed polymorphs   140.6 meV/atom
Total moment   0.00 μB per atom
SG   No. 123
Formation enthalpy at 0 K   -0.044 eV per atom
Total DFT energy (no corrections)   -69.43 eV/f.u.

=====

[4]
Entry from Alexandria: a crystal of LiZr2Rh2 relaxed with PBEsol (SCAN).

a = 3.167 Å, b = 7.527 Å, c = 7.527 Å
α = 90.00°, β = 90.00°, γ = 90.00°
Positions (direct):
1 Rh 0.000 0.361 0.861
2 Rh 0.000 0.861 0.639
3 Rh 0.000 0.639 0.139
4 Rh 0.000 0.139 0.361
5 Zr 0.500 0.158 0.658
6 Zr 0.500 0.658 0.842
7 Zr 0.500 0.842 0.342
8 Zr 0.500 0.342 0.158
9 Li 0.000 0.000 0.000
10 Li 0.000 0.500 0.500

Calculated values
N(E_F)   7.5 states/eV per cell
ρ   7.3 g cm⁻³
Total moment   0.00 μB per atom
SG   No. 127
Formation enthalpy at 0 K   -0.685 eV per atom
Total DFT energy (no corrections)   -134.76 eV/f.u.

=====

[5]
Entry from Alexandria: a crystal of Li2Ru relaxed with PBEsol (SCAN).

a = 2.653 Å, b = 4.454 Å, c = 7.826 Å
α = 81.84°, β = 80.24°, γ = 72.67°
Positions (direct):
1 Ru 0.154 0.746 0.945
2 Ru 0.846 0.254 0.055
3 Li 0.816 0.745 0.623
4 Li 0.496 0.767 0.240
5 Li 0.504 0.233 0.760
6 Li 0.184 0.255 0.377

Calculated values
N(E_F)   3.6 states/eV per cell
ρ   4.4 g cm⁻³
Total moment   0.01 μB per atom
SG   No. 12
Formation enthalpy at 0 K   0.089 eV per atom
Total DFT energy (no corrections)   -39.34 eV/f.u.

=====

[6]
Entry from Alexandria: a crystal of LiRu relaxed with PBEsol (SCAN).

a = 2.460 Å, b = 4.345 Å, c = 4.982 Å
α = 90.00°, β = 90.00°, γ = 90.00°
Positions (direct):
1 Li 0.500 0.250 0.376
2 Li 0.500 0.750 0.624
3 Ru 0.000 0.250 0.887
4 Ru 0.000 0.750 0.113

Calculated values
N(E_F)   2.5 states/eV per cell
ρ   6.7 g cm⁻³
Total moment   0.00 μB per atom
SG   No. 51
Formation enthalpy at 0 K   0.178 eV per atom
Total DFT energy (no corrections)   -36.86 eV/f.u.